Compound: Nb2Ru3Pt
Source: Alexandria
Functional: GGA-PBE
Structure: optimized geometry

a b c (Å): 4.7998 7.7879 7.7879
angles (deg): 138.46 90.00 90.00
Positions (direct):
Nb 0.8731 0.1535 0.5139
Nb 0.3731 0.4861 0.8465
Nb 0.3731 0.8465 0.4861
Nb 0.8731 0.5139 0.1535
Ru 0.3740 0.2972 0.0083
Ru 0.8740 0.9917 0.7028
Ru 0.5470 0.3936 0.3936
Ru 0.0470 0.6064 0.6064
Ru 0.8740 0.7028 0.9917
Ru 0.3740 0.0083 0.2972
Pt 0.5266 0.8709 0.8709
Pt 0.0266 0.1291 0.1291

Calculated values
**Formation energy from the elements**: -7.04 kJ per mole of atoms
**SG**: No. 36
**Energy relative to the lowest polymorph listed for this composition**: 144 meV per atom

***

Compound: AgPdI2
Source: Alexandria
Functional: GGA-PBE
Structure: optimized geometry

a b c (Å): 4.1704 4.1704 7.3354
angles (deg): 73.49 73.49 60.00
Positions (direct):
I 0.2555 0.2555 0.2334
I 0.7445 0.7445 0.7666
Pd 0.0000 0.0000 0.0000
Ag 0.5000 0.5000 0.5000

Calculated values
**SG**: No. 166
**E_form (uncorrected)**: -0.012 eV/atom
**Energy relative to the lowest polymorph listed for this composition**: 55 meV per atom

***

Compound: AcFe2GeN
Source: Alexandria
Functional: GGA-PBE
Structure: optimized geometry

a b c (Å): 4.0907 5.8655 6.9338
angles (deg): 90.00 90.00 110.41
Positions (direct):
Ac 0.4419 0.8838 0.7500
Ac 0.5581 0.1162 0.2500
Fe 0.1567 0.3134 0.9377
Fe 0.8433 0.6866 0.0623
Fe 0.1567 0.3134 0.5623
Fe 0.8433 0.6866 0.4377
Ge 0.7243 0.4486 0.7500
Ge 0.2757 0.5514 0.2500
N 0.0000 0.0000 0.0000
N 0.0000 0.0000 0.5000

Calculated values
**SG**: No. 63
**E_form (uncorrected)**: -0.474 eV/atom

***

Compound: Ta11Co2Se8
Source: Alexandria
Functional: GGA-PBE
Structure: optimized geometry

a b c (Å): 3.4341 12.2009 19.6279
angles (deg): 90.00 90.00 90.00
Positions (direct):
Co 0.0000 0.0916 0.1283
Co 0.0000 0.9084 0.8717
Co 0.5000 0.4084 0.6283
Co 0.5000 0.5916 0.3717
Se 0.0000 0.1117 0.5543
Se 0.0000 0.8883 0.4457
Se 0.5000 0.3883 0.0543
Se 0.5000 0.6117 0.9457
Se 0.0000 0.4628 0.8253
Se 0.0000 0.5372 0.1747
Se 0.5000 0.0372 0.3253
Se 0.5000 0.9628 0.6747
Se 0.0000 0.2060 0.9453
Se 0.0000 0.7940 0.0547
Se 0.5000 0.2940 0.4453
Se 0.5000 0.7060 0.5547
Se 0.0000 0.2805 0.2857
Se 0.0000 0.7195 0.7143
Se 0.5000 0.2195 0.7857
Se 0.5000 0.7805 0.2143
Ta 0.0000 0.0000 0.0000
Ta 0.5000 0.5000 0.5000
Ta 0.0000 0.3508 0.7118
Ta 0.0000 0.6492 0.2882
Ta 0.5000 0.1492 0.2118
Ta 0.5000 0.8508 0.7882
Ta 0.0000 0.3234 0.1467
Ta 0.0000 0.6766 0.8533
Ta 0.5000 0.1766 0.6467
Ta 0.5000 0.8234 0.3533
Ta 0.0000 0.4364 0.3843
Ta 0.0000 0.5636 0.6157
Ta 0.5000 0.0636 0.8843
Ta 0.5000 0.9364 0.1157
Ta 0.0000 0.0574 0.7579
Ta 0.0000 0.9426 0.2421
Ta 0.5000 0.4426 0.2579
Ta 0.5000 0.5574 0.7421
Ta 0.0000 0.3221 0.5533
Ta 0.0000 0.6779 0.4467
Ta 0.5000 0.1779 0.0533
Ta 0.5000 0.8221 0.9467

Calculated values
**SG**: No. 58
**E_form (uncorrected)**: -0.570 eV/atom

***

Per-record calculated total energy, eV per atom: -9.074 -2.798 -7.269 -8.783
Per-record density of states at the Fermi level, states/eV per atom: 0.81 0.93 0.83 0.73